This record from the Alexandria database describes a relaxed structure of Na2TiCl6. The functional is GGA-PBE.

Cell and atoms, written as POSCAR:
```
Na2TiCl6
1.0
6.671 0.000 0.000
0.000 7.048 0.000
-6.208 0.000 9.824
Na Ti Cl
4 2 12
direct
0.192 0.089 0.232
0.192 0.411 0.732
0.808 0.589 0.268
0.808 0.911 0.768
0.500 0.000 0.000
0.500 0.500 0.500
0.162 0.181 0.945
0.162 0.319 0.445
0.267 0.721 0.926
0.267 0.779 0.426
0.417 0.050 0.777
0.417 0.450 0.277
0.583 0.550 0.723
0.583 0.950 0.223
0.733 0.221 0.574
0.733 0.279 0.074
0.838 0.681 0.555
0.838 0.819 0.055
```

Computed properties:
**Symmetry**: P2_1/c, No. 14
**Energy**: -4.062 eV/atom
**ρ**: 2.204 g/cm3